{"formula": "NaAlC", "functional": "GGA-PBE", "state": "optimized geometry", "delta_e_f_ev_per_atom": 0.341, "dft_energy_ev_per_fu": -13.3, "cell": [[6.600, 0.000, 0.000], [0.000, 3.637, 0.000], [0.000, 0.000, 6.096]], "species": ["Na", "Na", "Na", "Na", "Al", "Al", "Al", "Al", "C", "C", "C", "C"], "fractional_positions": [[0.027, 0.250, 0.144], [0.473, 0.750, 0.644], [0.527, 0.250, 0.356], [0.973, 0.750, 0.856], [0.144, 0.250, 0.578], [0.356, 0.750, 0.078], [0.644, 0.250, 0.922], [0.856, 0.750, 0.422], [0.179, 0.750, 0.386], [0.321, 0.250, 0.886], [0.679, 0.750, 0.114], [0.821, 0.250, 0.614]]}